## AlTcS2 (PBE)

Data for an optimized crystal structure of AlTcS2.

a = 5.3840 Å, b = 5.3840 Å, c = 6.4096 Å
α = 65.17°, β = 65.17°, γ = 90.00°
Closest atoms and distances in Å follow each position.
Fractional coordinates of all 8 atoms:
S  0.6204  0.1250  0.2500  2 Al 2.28, 2 Tc 2.31
S  0.1296  0.6250  0.2500  2 Al 2.28, 2 Tc 2.31
S  0.3750  0.3796  0.7500  2 Al 2.28, 2 Tc 2.31
S  0.8750  0.8704  0.7500  2 Al 2.28, 2 Tc 2.31
Tc  0.0000  0.0000  0.0000  4 S 2.31
Tc  0.7500  0.2500  0.5000  4 S 2.31
Al  0.5000  0.5000  0.0000  4 S 2.28
Al  0.2500  0.7500  0.5000  4 S 2.28

Calculated values
The raw total energy comes out at -5.88 eV per atom. The value obtained for the uncorrected formation energy is -6.559 kcal/mol of atoms. Its calculated volume is 18.7 A^3/atom.


## AlTc2S (PBE)

Data for an optimized crystal structure of AlTc2S.

a = 7.1083 Å, b = 7.1083 Å, c = 5.6101 Å
α = 50.69°, β = 50.69°, γ = 90.00°
Closest atoms and distances in Å follow each position.
Fractional coordinates of all 8 atoms:
S  0.0000  0.0000  0.0000  4 Tc 2.21
S  0.7500  0.2500  0.5000  4 Tc 2.21
Tc  0.7118  0.1250  0.2500  2 S 2.21
Tc  0.0382  0.6250  0.2500  2 S 2.21
Tc  0.3750  0.2882  0.7500  2 S 2.21
Tc  0.8750  0.9618  0.7500  2 S 2.21
Al  0.5000  0.5000  0.0000  2 S 2.49
Al  0.2500  0.7500  0.5000  2 S 2.49

Calculated values
The raw total energy comes out at -7.01 eV per atom. The energy relative to the lowest polymorph listed for this composition is 80 meV/atom. The value obtained for the uncorrected formation energy is 3.232 kcal/mol of atoms. Its calculated volume is 15.7 A^3/atom.


## AlTcS2 (PBE)

Data for an optimized crystal structure of AlTcS2.

a = 7.6836 Å, b = 7.6836 Å, c = 7.6836 Å
α = 24.28°, β = 24.28°, γ = 24.28°
Closest atoms and distances in Å follow each position.
Fractional coordinates of all 4 atoms:
S  0.8972  0.8972  0.8972  1 Tc 2.30, 3 Al 2.35
S  0.1028  0.1028  0.1028  1 Tc 2.30, 3 Al 2.35
Tc  0.0000  0.0000  0.0000  2 S 2.30
Al  0.5000  0.5000  0.5000  6 S 2.35

Calculated values
The raw total energy comes out at -5.76 eV per atom. The value obtained for the uncorrected formation energy is -4.014 kcal/mol of atoms. Its calculated volume is 16.9 A^3/atom.


## AlTc2S (PBE)

Data for an optimized crystal structure of AlTc2S.

a = 4.2525 Å, b = 4.2525 Å, c = 4.2525 Å
α = 60.00°, β = 60.00°, γ = 60.00°
Closest atoms and distances in Å follow each position.
Fractional coordinates of all 4 atoms:
S  0.5000  0.5000  0.5000  8 Tc 2.60
Tc  0.2500  0.2500  0.2500  4 S 2.60, 4 Al 2.60
Tc  0.7500  0.7500  0.7500  4 S 2.60, 4 Al 2.60
Al  0.0000  0.0000  0.0000  8 Tc 2.60

Calculated values
The raw total energy comes out at -7.09 eV per atom. The energy relative to the lowest polymorph listed for this composition is 0 meV/atom. The value obtained for the uncorrected formation energy is 1.394 kcal/mol of atoms. Its calculated volume is 13.6 A^3/atom.


## Al3TcS (PBE)

Data for an optimized crystal structure of Al3TcS.

a = 4.7483 Å, b = 4.7483 Å, c = 4.7483 Å
α = 90.00°, β = 90.00°, γ = 90.00°
Closest atoms and distances in Å follow each position.
Fractional coordinates of all 5 atoms:
S  0.5000  0.5000  0.5000  12 Al 3.36
Tc  0.0000  0.0000  0.0000  6 Al 2.37
Al  0.0000  0.5000  0.0000  2 Tc 2.37
Al  0.0000  0.0000  0.5000  2 Tc 2.37
Al  0.5000  0.0000  0.0000  2 Tc 2.37

Calculated values
The raw total energy comes out at -4.65 eV per atom. The energy relative to the lowest polymorph listed for this composition is 0 meV/atom. The value obtained for the uncorrected formation energy is 11.423 kcal/mol of atoms. Its calculated volume is 21.4 A^3/atom.


## Al2TcS (PBE)

Data for an optimized crystal structure of Al2TcS.

a = 6.8337 Å, b = 6.8337 Å, c = 5.5412 Å
α = 51.93°, β = 51.93°, γ = 90.00°
Closest atoms and distances in Å follow each position.
Fractional coordinates of all 8 atoms:
S  0.5000  0.5000  0.0000  4 Al 2.39
S  0.2500  0.7500  0.5000  4 Al 2.39
Tc  0.0000  0.0000  0.0000  4 Al 2.63, 2 S 2.71
Tc  0.7500  0.2500  0.5000  4 Al 2.63, 2 S 2.71
Al  0.5994  0.1250  0.2500  2 S 2.39, 2 Tc 2.63
Al  0.1506  0.6250  0.2500  2 S 2.39, 2 Tc 2.63
Al  0.3750  0.4006  0.7500  2 S 2.39, 2 Tc 2.63
Al  0.8750  0.8494  0.7500  2 S 2.39, 2 Tc 2.63

Calculated values
The raw total energy comes out at -5.38 eV per atom. The value obtained for the uncorrected formation energy is 2.606 kcal/mol of atoms. Its calculated volume is 15.8 A^3/atom.


## AlTeS2 (PBE)

Data for an optimized crystal structure of AlTeS2.

a = 6.5392 Å, b = 6.5392 Å, c = 6.5791 Å
α = 60.20°, β = 60.20°, γ = 90.00°
Closest atoms and distances in Å follow each position.
Fractional coordinates of all 8 atoms:
S  0.5407  0.1250  0.2500  2 Al 2.28
S  0.2093  0.6250  0.2500  2 Al 2.28
S  0.3750  0.4593  0.7500  2 Al 2.28
S  0.8750  0.7907  0.7500  2 Al 2.28
Te  0.0000  0.0000  0.0000  4 S 2.97
Te  0.7500  0.2500  0.5000  4 S 2.97
Al  0.5000  0.5000  0.0000  4 S 2.28
Al  0.2500  0.7500  0.5000  4 S 2.28

Calculated values
The raw total energy comes out at -3.95 eV per atom. The energy relative to the lowest polymorph listed for this composition is 422 meV/atom. The value obtained for the uncorrected formation energy is -3.871 kcal/mol of atoms. Its calculated volume is 25.0 A^3/atom.


## AlTe2S4 (PBE)

Data for an optimized crystal structure of AlTe2S4.

a = 6.9991 Å, b = 6.9991 Å, c = 6.6122 Å
α = 121.96°, β = 121.97°, γ = 90.00°
Closest atoms and distances in Å follow each position.
Fractional coordinates of all 7 atoms:
S  0.8902  0.8902  0.2102  1 Al 2.32
S  0.3200  0.3201  0.2103  1 Al 2.32
S  0.6799  0.1098  0.7897  1 Al 2.32
S  0.1098  0.6800  0.7898  1 Al 2.32
Te  0.0000  0.5000  0.0000  4 S 2.66
Te  0.5000  0.0000  0.0000  4 S 2.66
Al  0.0000  0.0000  0.0000  4 S 2.32

Calculated values
The raw total energy comes out at -3.96 eV per atom. The value obtained for the uncorrected formation energy is -3.816 kcal/mol of atoms. Its calculated volume is 30.7 A^3/atom.